w) PBE LuCdAgAu, optimized geometry; symmetry = F-43m; spin magnetization = 0.0 Bohr magnetons per cell
1.0
0.000 3.446 3.446
3.446 0.000 3.446
3.446 3.446 0.000
Lu Ag Au Cd
1 1 1 1
Direct
0.750 0.750 0.750 Lu
0.500 0.500 0.500 Ag
0.000 0.000 0.000 Au
0.250 0.250 0.250 Cd

=====

x) PBE LuCdAgAu, optimized geometry; symmetry = F-43m; spin magnetization = 0.0 Bohr magnetons per cell
1.0
3.459 1.140 3.209
-1.217 1.404 4.485
0.865 -2.923 3.777
Lu Ag Cd Au
1 1 1 1
Direct
0.750 0.750 0.750 Lu
0.500 0.500 0.500 Ag
0.000 0.000 0.000 Cd
0.250 0.250 0.250 Au

=====

y) PBE LuCdAgAu, optimized geometry; symmetry = F-43m; spin magnetization = 0.0 Bohr magnetons per cell
1.0
0.000 3.447 3.447
3.447 0.000 3.447
3.447 3.447 0.000
Ag Au Cd Lu
1 1 1 1
Direct
0.250 0.250 0.250 Ag
0.000 0.000 0.000 Au
0.500 0.500 0.500 Cd
0.750 0.750 0.750 Lu

=====

Need the numbers? Relative energies in meV per atom: w) 0; x) 161; y) 91.

=====

w) PBE ZrCdAgAu, optimized geometry; symmetry = F-43m; spin magnetization = 0.0 Bohr magnetons per cell
1.0
3.134 -2.650 2.468
3.090 2.110 2.989
-0.510 -0.523 4.733
Ag Zr Cd Au
1 1 1 1
Direct
0.250 0.250 0.250 Ag
0.000 0.000 0.000 Zr
0.500 0.500 0.500 Cd
0.750 0.750 0.750 Au

=====

x) PBE ZrCdAgAu, optimized geometry; symmetry = F-43m; spin magnetization = 0.0 Bohr magnetons per cell
1.0
0.000 3.377 3.377
3.377 0.000 3.377
3.377 3.377 0.000
Au Ag Cd Zr
1 1 1 1
Direct
0.750 0.750 0.750 Au
0.000 0.000 0.000 Ag
0.500 0.500 0.500 Cd
0.250 0.250 0.250 Zr

=====

Need the numbers? Relative energies in meV per atom: w) 0; x) 156.

=====

w) PBE CsAgSbAu, optimized geometry; symmetry = F-43m
1.0
0.000 3.835 3.835
3.835 0.000 3.835
3.835 3.835 0.000
Cs Ag Sb Au
1 1 1 1
Direct
0.500 0.500 0.500 Cs
0.250 0.250 0.250 Ag
0.000 0.000 0.000 Sb
0.750 0.750 0.750 Au

=====

x) PBE CsAgSbAu, optimized geometry; symmetry = F-43m
1.0
2.238 1.390 4.781
-2.321 -1.611 4.671
2.424 -3.795 3.085
Cs Au Sb Ag
1 1 1 1
Direct
0.500 0.500 0.500 Cs
0.750 0.750 0.750 Au
0.250 0.250 0.250 Sb
0.000 0.000 0.000 Ag

=====

Need the numbers? Relative energies in meV per atom: w) 0; x) 176.

=====

w) PBE DyAgAu, optimized geometry; symmetry = P4/mmm; spin magnetization = 0.0 Bohr magnetons per cell
1.0
3.736 0.000 0.000
0.000 3.736 0.000
0.000 0.000 9.125
Dy Ag Au
2 2 2
Direct
0.500 0.500 0.500 Dy
0.000 0.000 0.000 Dy
0.500 0.500 0.168 Ag
0.500 0.500 0.832 Ag
0.000 0.000 0.667 Au
0.000 0.000 0.333 Au

=====

x) PBE DyAgAu, optimized geometry; symmetry = P4/nmm; spin magnetization = 0.0 Bohr magnetons per cell
1.0
3.742 0.000 0.000
0.000 3.742 0.000
0.000 0.000 9.150
Dy Au Ag
2 2 2
Direct
0.000 0.500 0.741 Dy
0.500 0.000 0.259 Dy
0.500 0.000 0.592 Au
0.000 0.500 0.408 Au
0.000 0.500 0.075 Ag
0.500 0.000 0.925 Ag

=====

Need the numbers? Relative energies in meV per atom: w) 11; x) 0.

=====

w) PBE GaAg2Au2, optimized geometry; symmetry = I4/mmm
1.0
-1.945 1.945 6.782
1.945 -1.945 6.782
1.945 1.945 -6.782
Ag Ga Au
2 1 2
Direct
0.403 0.403 0.000 Ag
0.597 0.597 0.000 Ag
0.000 0.000 0.000 Ga
0.250 0.750 0.500 Au
0.750 0.250 0.500 Au

=====

x) PBE GaAg2Au2, optimized geometry; symmetry = I4/mmm
1.0
2.744 -2.744 0.000
2.744 2.744 0.000
-2.744 0.000 6.770
Ag Ga Au
2 1 2
Direct
0.750 0.250 0.500 Ag
0.250 0.750 0.500 Ag
0.000 0.000 0.000 Ga
0.402 0.402 0.803 Au
0.598 0.598 0.197 Au

=====

Need the numbers? Relative energies in meV per atom: w) 46; x) 0.

=====

w) PBE HfAgAu, optimized geometry; symmetry = I4mm; spin magnetization = 0.1 Bohr magnetons per cell
1.0
-1.777 1.777 4.420
1.777 -1.777 4.420
1.777 1.777 -4.420
Hf Au Ag
1 1 1
Direct
0.002 0.002 0.000 Hf
0.667 0.667 0.000 Au
0.330 0.330 0.000 Ag

=====

x) PBE HfAgAu, optimized geometry; symmetry = P4/mmm; spin magnetization = 0.3 Bohr magnetons per cell
1.0
-2.992 1.653 -1.005
-1.929 -2.413 1.776
0.356 5.035 7.228
Au Ag Hf
2 2 2
Direct
0.500 0.500 0.832 Au
0.500 0.500 0.168 Au
0.000 0.000 0.333 Ag
0.000 0.000 0.667 Ag
0.000 0.000 0.000 Hf
0.500 0.500 0.500 Hf

=====

Need the numbers? Relative energies in meV per atom: w) 0; x) 6.